A geometry-optimized Cd2Sb2Pb structure, computed with PBE.

Calculated values
**Relative energy among the computed polymorphs**: 5.5 kJ/mol of atoms
**Formation energy without anion corrections**: 0.0803 eV/atom

Unit cell a=8.8759 b=8.8759 c=3.5408 alpha=90.00 beta=90.00 gamma=90.00
Fractional positions:
Cd: 0.1281 0.6281 0.5000
Cd: 0.8719 0.3719 0.5000
Cd: 0.6281 0.8719 0.5000
Cd: 0.3719 0.1281 0.5000
Sb: 0.6718 0.1718 0.0000
Sb: 0.8282 0.6718 0.0000
Sb: 0.3282 0.8282 0.0000
Sb: 0.1718 0.3282 0.0000
Pb: 0.5000 0.5000 0.0000
Pb: 0.0000 0.0000 0.0000

---

A geometry-optimized CdSbPb2 structure, computed with PBE.

Calculated values
**Formation energy without anion corrections**: 0.0983 eV/atom

Unit cell a=3.4408 b=3.4408 c=9.7094 alpha=90.00 beta=90.00 gamma=90.00
Fractional positions:
Pb: 0.5000 0.5000 0.2548
Pb: 0.0000 0.0000 0.9847
Cd: 0.5000 0.5000 0.7442
Sb: 0.0000 0.0000 0.5162

---

A geometry-optimized CdSbPb2 structure, computed with PBE.

Calculated values
**Formation energy without anion corrections**: 0.0514 eV/atom

Unit cell a=4.0472 b=4.0472 c=7.1701 alpha=90.00 beta=90.00 gamma=90.00
Fractional positions:
Cd: 0.5000 0.5000 0.7416
Pb: 0.5000 0.5000 0.2858
Pb: 0.0000 0.0000 0.9618
Sb: 0.0000 0.0000 0.5108

---

A geometry-optimized SrCdSb2Pb structure, computed with PBE.

Calculated values
**Formation energy without anion corrections**: -0.4106 eV/atom

Unit cell a=4.8750 b=9.2047 c=9.0562 alpha=62.63 beta=74.39 gamma=74.64
Fractional positions:
Pb: 0.5953 0.5771 0.2322
Pb: 0.4047 0.4229 0.7678
Sb: 0.3867 0.8099 0.4167
Sb: 0.8554 0.2807 0.0086
Sb: 0.1446 0.7193 0.9914
Sb: 0.6133 0.1901 0.5833
Sr: 0.2425 0.2182 0.2968
Sr: 0.7575 0.7818 0.7032
Cd: 0.9406 0.9139 0.2049
Cd: 0.0594 0.0861 0.7951

---

A geometry-optimized Tl2CdSb2Pb structure, computed with PBE.

Calculated values
**Formation energy without anion corrections**: -0.0117 eV/atom

Unit cell a=7.0861 b=7.1007 c=9.3034 alpha=112.43 beta=112.39 gamma=90.00
Fractional positions:
Sb: 0.5992 0.3818 0.7635
Sb: 0.8357 0.1182 0.2365
Sb: 0.1643 0.8818 0.7635
Sb: 0.4008 0.6182 0.2365
Tl: 0.4154 0.1731 0.3462
Tl: 0.5846 0.8269 0.6538
Tl: 0.0692 0.3269 0.6538
Tl: 0.9308 0.6731 0.3462
Cd: 0.5000 0.2500 0.0000
Cd: 0.5000 0.7500 0.0000
Pb: 0.0000 0.2500 0.0000
Pb: 0.0000 0.7500 0.0000

---

A geometry-optimized ZnCdSbPb2 structure, computed with PBE.

Calculated values
**Formation energy without anion corrections**: 0.6234 eV/atom

Unit cell a=5.9470 b=5.6729 c=5.9470 alpha=90.00 beta=90.00 gamma=90.00
Fractional positions:
Sb: 0.0000 0.0000 0.0000
Pb: 0.5000 0.0000 0.0000
Pb: 0.0000 0.0000 0.5000
Zn: 0.5000 0.5000 0.5000
Cd: 0.0000 0.5000 0.0000

---

A geometry-optimized Sc6CdPb structure, computed with PBE.

Calculated values
**Relative energy among the computed polymorphs**: 27.4 kJ/mol of atoms

Unit cell a=5.1794 b=5.1794 c=8.6242 alpha=75.65 beta=75.65 gamma=73.69
Fractional positions:
Sc: 0.3543 0.3543 0.9467
Sc: 0.0699 0.5608 0.2943
Sc: 0.5608 0.0699 0.2943
Sc: 0.9301 0.4392 0.7057
Sc: 0.6457 0.6457 0.0533
Sc: 0.4392 0.9301 0.7057
Cd: 0.0000 0.0000 0.0000
Pb: 0.5000 0.5000 0.5000

---

A geometry-optimized Sc2CdPb structure, computed with PBE.

Calculated values
**Raw total energy**: -17.54 eV per formula unit

Unit cell a=10.7523 b=10.7523 c=10.7523 alpha=17.82 beta=17.82 gamma=17.82
Each line ends with the local moment (μB).
Fractional positions:
Pb: 0.7494 0.7494 0.7494  0.01
Sc: 0.9957 0.9957 0.9957  0.18
Sc: 0.2502 0.2502 0.2502  0.16
Cd: 0.5048 0.5048 0.5048  0.00

---

A geometry-optimized ScCd2Pb structure, computed with PBE.

Calculated values
**Raw total energy**: -12.22 eV per formula unit

Unit cell a=5.6226 b=3.2454 c=5.3812 alpha=89.36 beta=90.00 gamma=90.00
Each line ends with the local moment (μB).
Fractional positions:
Cd: 0.0000 0.4635 0.5098  0.00
Cd: 0.0000 0.0365 0.9902  0.00
Sc: 0.5000 0.7500 0.7500  0.26
Pb: 0.5000 0.2500 0.2500  0.00

---

A geometry-optimized ScCd2Pb structure, computed with PBE.

Calculated values
**Raw total energy**: -12.27 eV per formula unit

Unit cell a=3.5157 b=3.5157 c=7.8714 alpha=90.00 beta=90.00 gamma=89.93
Each line ends with the local moment (μB).
Fractional positions:
Sc: 0.5000 0.5000 0.7709  0.29
Cd: 0.0000 0.0000 0.0000  0.01
Cd: 0.5000 0.5000 0.2244  0.01
Pb: 0.0000 0.0000 0.5047  0.01

---

A geometry-optimized Sc2CdPb structure, computed with PBE.

Calculated values
**Raw total energy**: -18.13 eV per formula unit

Unit cell a=5.0981 b=5.0981 c=6.1089 alpha=79.24 beta=79.24 gamma=39.40
Fractional positions:
Cd: 0.2500 0.2500 0.2500
Sc: 0.0001 0.0001 0.0138
Sc: 0.4999 0.4999 0.4862
Pb: 0.7500 0.7500 0.7500

---

A geometry-optimized ScCd4Pb structure, computed with PBE.

Calculated values
**Relative energy among the computed polymorphs**: 11.6 kJ/mol of atoms

Unit cell a=5.8941 b=5.8941 c=5.8941 alpha=60.00 beta=60.00 gamma=60.00
Fractional positions:
Cd: 0.3743 0.3743 0.3743
Cd: 0.8772 0.3743 0.3743
Cd: 0.3743 0.3743 0.8772
Cd: 0.3743 0.8772 0.3743
Pb: 0.7500 0.7500 0.7500
Sc: 0.0000 0.0000 0.0000

---

A geometry-optimized ScCd2Pb structure, computed with PBE.

Calculated values
**Raw total energy**: -12.61 eV per formula unit

Unit cell a=5.9045 b=5.9045 c=5.9045 alpha=136.94 beta=136.91 gamma=62.55
Fractional positions:
Cd: 0.0001 0.0001 0.0000
Cd: 0.4999 0.4999 0.0000
Pb: 0.7500 0.2500 0.5000
Sc: 0.2500 0.7500 0.5000

---

A geometry-optimized ScCd3Pb structure, computed with PBE.

Calculated values
**Relative energy among the computed polymorphs**: 0.0 kJ/mol of atoms

Unit cell a=5.5013 b=5.5013 c=5.5013 alpha=90.00 beta=90.00 gamma=90.00
Fractional positions:
Pb: 0.5000 0.5000 0.5000
Cd: 0.0000 0.5000 0.0000
Cd: 0.0000 0.0000 0.5000
Cd: 0.5000 0.0000 0.0000
Sc: 0.0000 0.0000 0.0000

---

A geometry-optimized Sc6Cd5Pb structure, computed with PBE.

Calculated values
**Raw total energy**: -49.99 eV per formula unit

Unit cell a=5.0340 b=7.0661 c=7.9737 alpha=90.00 beta=71.69 gamma=90.00
Each line ends with the local moment (μB).
Fractional positions:
Sc: 0.1683 0.2552 0.6636  0.06
Sc: 0.5000 0.2520 0.0000  0.09
Sc: 0.1683 0.7448 0.6636  0.06
Sc: 0.5000 0.7480 0.0000  0.09
Sc: 0.8317 0.7448 0.3364  0.06
Sc: 0.8317 0.2552 0.3364  0.06
Cd: 0.0000 0.5000 0.0000  0.00
Cd: 0.3259 0.0000 0.3481  0.00
Cd: 0.6741 0.0000 0.6519  0.00
Cd: 0.6653 0.5000 0.6698  0.00
Cd: 0.3347 0.5000 0.3302  0.00
Pb: 0.0000 0.0000 0.0000  0.00

---

A geometry-optimized Sc3CdPb structure, computed with PBE.

Calculated values
**Relative energy among the computed polymorphs**: 14.1 kJ/mol of atoms

Unit cell a=5.4152 b=5.4152 c=5.4152 alpha=90.00 beta=90.00 gamma=90.00
Each line ends with the local moment (μB).
Fractional positions:
Sc: 0.0000 0.0000 0.5000  0.18
Sc: 0.5000 0.0000 0.0000  0.20
Sc: 0.0000 0.5000 0.0000  0.20
Cd: 0.5000 0.5000 0.5000  0.02
Pb: 0.0000 0.0000 0.0000  0.00

---

A geometry-optimized Sc2CdPb structure, computed with PBE.

Calculated values
**Raw total energy**: -18.40 eV per formula unit

Unit cell a=5.9695 b=5.9695 c=5.9695 alpha=138.19 beta=137.61 gamma=61.06
Fractional positions:
Sc: 0.2506 0.7506 0.5000
Sc: 0.9998 0.9998 0.0000
Pb: 0.7489 0.2489 0.5000
Cd: 0.5007 0.5007 0.0000

---

A geometry-optimized Sc6CdPb structure, computed with PBE.

Calculated values
**Relative energy among the computed polymorphs**: 0.0 kJ/mol of atoms

Unit cell a=4.5345 b=4.5345 c=9.0573 alpha=90.00 beta=90.00 gamma=90.00
Each line ends with the local moment (μB).
Fractional positions:
Sc: 0.0000 0.5000 0.7463  0.38
Sc: 0.5000 0.0000 0.2537  0.38
Sc: 0.5000 0.0000 0.7463  0.38
Sc: 0.0000 0.5000 0.2537  0.38
Sc: 0.5000 0.5000 0.5000  0.28
Sc: 0.5000 0.5000 0.0000  0.46
Cd: 0.0000 0.0000 0.5000  -0.01
Pb: 0.0000 0.0000 0.0000  -0.03

---

A geometry-optimized Sc2Cd3Pb3 structure, computed with PBE.

Calculated values
**Raw total energy**: -28.13 eV per formula unit

Unit cell a=4.8326 b=4.5559 c=8.8500 alpha=90.00 beta=90.00 gamma=90.00
Fractional positions:
Cd: 0.5000 0.0000 0.0000
Cd: 0.5000 0.5000 0.7625
Cd: 0.5000 0.5000 0.2375
Sc: 0.0000 0.0000 0.7504
Sc: 0.0000 0.0000 0.2496
Pb: 0.0000 0.5000 0.0000
Pb: 0.0000 0.5000 0.5000
Pb: 0.5000 0.0000 0.5000

---

A geometry-optimized Sc2CdPb structure, computed with PBE.

Calculated values
**Raw total energy**: -18.02 eV per formula unit

Unit cell a=3.5271 b=4.4323 c=6.2367 alpha=90.00 beta=90.00 gamma=90.00
Fractional positions:
Pb: 0.5000 0.5000 0.7675
Cd: 0.0000 0.0000 0.4729
Sc: 0.5000 0.5000 0.2649
Sc: 0.0000 0.0000 0.9946

---

A geometry-optimized Sc5CdPb structure, computed with PBE.

Calculated values
**Raw total energy**: -36.75 eV per formula unit

Unit cell a=5.7310 b=5.7310 c=10.7075 alpha=99.36 beta=99.36 gamma=92.43
Fractional positions:
Sc: 0.5214 0.2398 0.9695
Sc: 0.5813 0.0092 0.6535
Sc: 0.1174 0.8826 0.7500
Sc: 0.9908 0.4187 0.8465
Sc: 0.4786 0.7602 0.0305
Sc: 0.2398 0.5214 0.4695
Sc: 0.8826 0.1174 0.2500
Sc: 0.4187 0.9908 0.3465
Sc: 0.0092 0.5813 0.1535
Sc: 0.7602 0.4786 0.5305
Cd: 0.0000 0.0000 0.0000
Cd: 0.0000 0.0000 0.5000
Pb: 0.5231 0.4769 0.2500
Pb: 0.4769 0.5231 0.7500

---

A geometry-optimized Sc3CdPb structure, computed with PBE.

Calculated values
**Relative energy among the computed polymorphs**: 0.0 kJ/mol of atoms

Unit cell a=5.2568 b=5.2568 c=5.2568 alpha=90.00 beta=90.00 gamma=90.00
Fractional positions:
Sc: 0.5000 0.0000 0.0000
Sc: 0.0000 0.0000 0.5000
Sc: 0.0000 0.5000 0.0000
Cd: 0.0000 0.0000 0.0000
Pb: 0.5000 0.5000 0.5000

---

A geometry-optimized ScCd2Pb structure, computed with PBE.

Calculated values
**Raw total energy**: -12.34 eV per formula unit

Unit cell a=5.7169 b=5.7169 c=5.7134 alpha=133.87 beta=133.87 gamma=67.35
Fractional positions:
Pb: 0.5001 0.5001 0.0000
Cd: 0.9998 0.9998 0.0000
Cd: 0.7501 0.2501 0.5000
Sc: 0.2499 0.7499 0.5000

---

A geometry-optimized Sc2CdPb structure, computed with PBE.

Calculated values
**Raw total energy**: -17.12 eV per formula unit

Unit cell a=10.9223 b=10.9223 c=10.9223 alpha=17.76 beta=17.76 gamma=17.76
Fractional positions:
Sc: 0.0929 0.0929 0.0929
Sc: 0.9071 0.9071 0.9071
Cd: 0.5000 0.5000 0.5000
Pb: 0.0000 0.0000 0.0000

---

A geometry-optimized ScCd2Pb structure, computed with PBE.

Calculated values
**Raw total energy**: -12.02 eV per formula unit

Unit cell a=10.7173 b=10.7173 c=10.7173 alpha=17.95 beta=17.95 gamma=17.95
Fractional positions:
Cd: 0.0069 0.0069 0.0069
Cd: 0.4931 0.4931 0.4931
Sc: 0.7500 0.7500 0.7500
Pb: 0.2500 0.2500 0.2500

---

A geometry-optimized ScCd2Pb structure, computed with PBE.

Calculated values
**Raw total energy**: -12.80 eV per formula unit

Unit cell a=4.3909 b=4.3909 c=4.8215 alpha=90.00 beta=90.00 gamma=90.00
Fractional positions:
Sc: 0.0000 0.5000 0.5000
Pb: 0.5000 0.0000 0.5000
Cd: 0.5000 0.5000 0.0000
Cd: 0.0000 0.0000 0.0000

---

A geometry-optimized ScCd2Pb structure, computed with PBE.

Calculated values
**Raw total energy**: -12.36 eV per formula unit

Unit cell a=5.9005 b=5.9005 c=5.5868 alpha=67.00 beta=67.00 gamma=33.31
Fractional positions:
Cd: 0.7457 0.7457 0.8352
Cd: 0.9960 0.9960 0.9204
Sc: 0.2542 0.2542 0.3313
Pb: 0.5041 0.5041 0.4131

---

Number 1: Fermi-level density of states 2.9 states/eV/f.u.. Number 2: Fermi-level density of states 2.8 states/eV/f.u.. Number 3: Fermi-level density of states 1.2 states/eV/f.u.. Number 4: Fermi-level density of states 0.3 states/eV/f.u.. Number 5: Fermi-level density of states 1.4 states/eV/f.u.. Number 6: Fermi-level density of states 4.6 states/eV/f.u.. Number 7: Fermi-level density of states 11.4 states/eV/f.u.. Number 8: Fermi-level density of states 3.9 states/eV/f.u.. Number 9: Fermi-level density of states 3.1 states/eV/f.u.. Number 10: Fermi-level density of states 2.6 states/eV/f.u.. Number 11: Fermi-level density of states 3.4 states/eV/f.u.. Number 12: Fermi-level density of states 5.5 states/eV/f.u.. Number 13: Fermi-level density of states 2.4 states/eV/f.u.. Number 14: Fermi-level density of states 3.8 states/eV/f.u.. Number 15: Fermi-level density of states 12.4 states/eV/f.u.. Number 16: Fermi-level density of states 5.8 states/eV/f.u.. Number 17: Fermi-level density of states 4.0 states/eV/f.u.. Number 18: Fermi-level density of states 9.4 states/eV/f.u.. Number 19: Fermi-level density of states 3.6 states/eV/f.u.. Number 20: Fermi-level density of states 3.8 states/eV/f.u.. Number 21: Fermi-level density of states 9.8 states/eV/f.u.. Number 22: Fermi-level density of states 5.3 states/eV/f.u.. Number 23: Fermi-level density of states 3.2 states/eV/f.u.. Number 24: Fermi-level density of states 4.8 states/eV/f.u.. Number 25: Fermi-level density of states 4.0 states/eV/f.u.. Number 26: Fermi-level density of states 1.4 states/eV/f.u.. Number 27: Fermi-level density of states 2.6 states/eV/f.u..